Record 1
IrBr after structural relaxation, computed with PBE.

The space group is Pnma (No. 62) and the conventional cell measures 11.461, 3.630 and 5.141 Å, with angles of 90.00, 90.00 and 90.00 degrees. The distinct sites, in fractional coordinates, are Ir at (0.010, 0.250, 0.151) and Br at (0.123, 0.750, 0.450).

As for the electronic total energy: -4.598 eV/atom. As for the formation energy (no corrections): 0.668 eV per atom. For the energy above the most stable polymorph in this dataset, the calculation gives 0.80 eV/f.u. For the density of states at the Fermi level, the calculation gives 6.15 states/eV per cell. The value obtained for the density is 8.5 Mg/m³.

=====

Record 2
Pm2Zn3Hg2 after structural relaxation, computed with PBE.

The space group is C2/m (No. 12) and the conventional cell measures 10.807, 4.618 and 6.752 Å, with angles of 90.00, 111.41 and 90.00 degrees. The distinct sites, in fractional coordinates, are Pm at (0.148, 0.000, 0.266), Zn at (0.000, 0.500, 0.500), Zn at (0.083, 0.500, 0.912) and Hg at (0.157, 0.000, 0.754).

As for the electronic total energy: -2.350 eV/atom. The value obtained for the formation energy is -0.3604 eV per atom. For the density of states at the Fermi level, the calculation gives 9.07 states/eV per cell. The value obtained for the density is 9.4 Mg/m³.

=====

Record 3
Ba2NaAs after structural relaxation, computed with PBE.

The space group is I-42d (No. 122) and the conventional cell measures 9.411, 9.411 and 8.871 Å, with angles of 90.00, 90.00 and 90.00 degrees. The distinct sites, in fractional coordinates, are Ba at (0.184, 0.250, 0.125), Na at (0.000, 0.000, 0.500) and As at (0.000, 0.000, 0.000).

As for the electronic total energy: -2.888 eV/atom. The value obtained for the formation energy is -0.4341 eV per atom. For the density of states at the Fermi level, the calculation gives 0.02 states/eV per cell. The value obtained for the density is 3.1 Mg/m³.

=====

Record 4
Al2ZnGaGe after structural relaxation, computed with PBE.

The space group is P4/mmm (No. 123) and the conventional cell measures 5.034, 5.034 and 4.651 Å, with angles of 90.00, 90.00 and 90.00 degrees. The distinct sites, in fractional coordinates, are Al at (0.000, 0.500, 0.000), Zn at (0.000, 0.000, 0.500), Ga at (0.500, 0.500, 0.500) and Ge at (0.000, 0.000, 0.000).

As for the electronic total energy: -2.733 eV/atom. The value obtained for the formation energy is 0.5474 eV per atom. For the density of states at the Fermi level, the calculation gives 2.25 states/eV per cell. The value obtained for the density is 3.7 Mg/m³.

=====

Record 5
YSbPt after structural relaxation, computed with PBE.

The space group is I4mm (No. 107) and the conventional cell measures 3.557, 3.557 and 10.894 Å, with angles of 90.00, 90.00 and 90.00 degrees. The distinct sites, in fractional coordinates, are Y at (0.000, 0.000, 0.000), Sb at (0.000, 0.000, 0.295) and Pt at (0.000, 0.000, 0.645).

As for the electronic total energy: -6.286 eV/atom. As for the formation energy (no corrections): -0.743 eV per atom. For the density of states at the Fermi level, the calculation gives 5.27 states/eV per cell. The value obtained for the density is 9.8 Mg/m³.

=====

Record 6
CeThZrAl after structural relaxation, computed with PBE.

The space group is F-43m (No. 216) and the conventional cell measures 7.459, 7.459 and 7.459 Å, with angles of 90.00, 90.00 and 90.00 degrees. The distinct sites, in fractional coordinates, are Ce at (0.000, 0.000, 0.000), Th at (0.000, 0.000, 0.500), Zr at (0.250, 0.250, 0.250) and Al at (0.250, 0.250, 0.750).

As for the electronic total energy: -6.375 eV/atom. The value obtained for the formation energy is 0.0360 eV per atom. For the density of states at the Fermi level, the calculation gives 34.04 states/eV per cell. The value obtained for the density is 7.8 Mg/m³.

=====

Record 7
YAlCr after structural relaxation, computed with PBE.

The space group is C2/m (No. 12) and the conventional cell measures 9.881, 4.655 and 7.131 Å, with angles of 90.00, 132.75 and 90.00 degrees. The distinct sites, in fractional coordinates, are Y at (0.245, 0.000, 0.203), Al at (0.062, 0.500, 0.236) and Cr at (0.044, 0.000, 0.418).

As for the electronic total energy: -6.613 eV/atom. The value obtained for the formation energy is -0.0031 eV per atom. For the density of states at the Fermi level, the calculation gives 11.30 states/eV per cell. The value obtained for the density is 4.6 Mg/m³.

=====

Record 8
Tb4TmBi5 after structural relaxation, computed with PBE.

The space group is I4/mmm (No. 139) and the conventional cell measures 4.478, 4.478 and 31.653 Å, with angles of 90.00, 90.00 and 90.00 degrees. The distinct sites, in fractional coordinates, are Tb at (0.000, 0.000, 0.100), Tb at (0.000, 0.000, 0.300), Tm at (0.000, 0.000, 0.500), Bi at (0.000, 0.000, 0.000), Bi at (0.000, 0.000, 0.200) and Bi at (0.000, 0.000, 0.401).

As for the electronic total energy: -5.100 eV/atom. The value obtained for the formation energy is -0.8603 eV per atom. For the density of states at the Fermi level, the calculation gives 2.43 states/eV per cell. The value obtained for the density is 9.7 Mg/m³.

=====

Record 9
TcB2SCl after structural relaxation, computed with PBE.

The space group is P4/mmm (No. 123) and the conventional cell measures 3.754, 3.754 and 4.641 Å, with angles of 90.00, 90.00 and 90.00 degrees. The distinct sites, in fractional coordinates, are Tc at (0.000, 0.000, 0.000), B at (0.000, 0.500, 0.500), S at (0.500, 0.500, 0.000) and Cl at (0.500, 0.500, 0.500).

As for the electronic total energy: -3.819 eV/atom. As for the formation energy (no corrections): 2.120 eV per atom. For the density of states at the Fermi level, the calculation gives 3.51 states/eV per cell. The value obtained for the density is 4.8 Mg/m³.

=====

Record 10
Sm2Al3AgPd4 after structural relaxation, computed with PBE.

The space group is P-4m2 (No. 115) and the conventional cell measures 4.288, 4.288 and 10.638 Å, with angles of 90.00, 90.00 and 90.00 degrees. The distinct sites, in fractional coordinates, are Sm at (0.000, 0.500, 0.248), Al at (0.000, 0.500, 0.880), Al at (0.500, 0.500, 0.500), Ag at (0.000, 0.000, 0.500), Pd at (0.000, 0.000, 0.000), Pd at (0.000, 0.500, 0.651) and Pd at (0.500, 0.500, 0.000).

As for the electronic total energy: -5.164 eV/atom. The value obtained for the formation energy is -0.7351 eV per atom. For the density of states at the Fermi level, the calculation gives 5.63 states/eV per cell. The value obtained for the density is 7.8 Mg/m³.

=====

Record 11
LiNp2As3Rh4 after structural relaxation, computed with PBE.

The space group is P-4m2 (No. 115) and the conventional cell measures 3.976, 3.976 and 11.098 Å, with angles of 90.00, 90.00 and 90.00 degrees. The distinct sites, in fractional coordinates, are Li at (0.000, 0.000, 0.000), Np at (0.000, 0.500, 0.755), As at (0.000, 0.500, 0.368), As at (0.500, 0.500, 0.000), Rh at (0.000, 0.000, 0.500), Rh at (0.000, 0.500, 0.151) and Rh at (0.500, 0.500, 0.500).

As for the electronic total energy: -7.696 eV/atom. The value obtained for the formation energy is -0.5808 eV per atom. For the density of states at the Fermi level, the calculation gives 18.45 states/eV per cell. The value obtained for the density is 10.6 Mg/m³.

=====

Record 12
CeMgGeAu after structural relaxation, computed with PBE.

The space group is F-43m (No. 216) and the conventional cell measures 7.042, 7.042 and 7.042 Å, with angles of 90.00, 90.00 and 90.00 degrees. The distinct sites, in fractional coordinates, are Ce at (0.000, 0.000, 0.000), Mg at (0.000, 0.000, 0.500), Ge at (0.250, 0.250, 0.750) and Au at (0.250, 0.250, 0.250).

As for the electronic total energy: -4.450 eV/atom. The value obtained for the formation energy is -0.5942 eV per atom. For the density of states at the Fermi level, the calculation gives 21.81 states/eV per cell. The value obtained for the density is 8.3 Mg/m³.

=====

> Which formula does entry 2 have?

Pm2Zn3Hg2